Record 1
The following is a DFT calculation (PBE) of a relaxed structure of YZn4Ag.

Properties
The formation energy comes out at -256 meV/atom. For the offset from the most stable computed form, the calculation gives 0.0 meV/atom. The calculation puts the total magnetization at 0.000 μB/atom. Its space-group type is P6/mmm, No. 191.

The structure in CIF format:
```
data_YZn4Ag
_chemical_formula_sum 'Y1 Zn4 Ag1'
_space_group_name_H-M_alt 'P 1'
_space_group_IT_number 1
_cell_length_a 4.392
_cell_length_b 4.392
_cell_length_c 6.483
_cell_angle_alpha 90.03
_cell_angle_beta 90.00
_cell_angle_gamma 120.00
loop_
_space_group_symop_operation_xyz
'x,y,z'
loop_
_atom_site_label
_atom_site_type_symbol
_atom_site_fract_x
_atom_site_fract_y
_atom_site_fract_z
Zn1 Zn 0.338 0.167 0.778
Zn2 Zn 0.671 0.833 0.778
Ag1 Ag 0.004 0.499 0.998
Zn3 Zn 0.337 0.166 0.219
Zn4 Zn 0.670 0.832 0.219
Y1 Y 0.004 0.499 0.498
```

***

Record 2
The following is a DFT calculation (PBE) of a relaxed structure of Y2ZnAg3.

Properties
The formation energy comes out at -299 meV/atom. The calculation puts the total magnetization at 0.000 μB/atom. Its space-group type is Pmm2, No. 25.

The structure in CIF format:
```
data_Y2ZnAg3
_chemical_formula_sum 'Y2 Zn1 Ag3'
_space_group_name_H-M_alt 'P 1'
_space_group_IT_number 1
_cell_length_a 3.426
_cell_length_b 4.681
_cell_length_c 8.168
_cell_angle_alpha 90.00
_cell_angle_beta 90.00
_cell_angle_gamma 90.00
loop_
_space_group_symop_operation_xyz
'x,y,z'
loop_
_atom_site_label
_atom_site_type_symbol
_atom_site_fract_x
_atom_site_fract_y
_atom_site_fract_z
Ag1 Ag 0.500 0.500 0.655
Zn1 Zn 0.500 0.500 0.331
Y1 Y 0.000 0.500 0.999
Ag2 Ag 0.500 0.000 0.177
Ag3 Ag 0.500 0.000 0.838
Y2 Y 0.000 0.000 0.500
```

***

Record 3
The following is a DFT calculation (PBE) of a relaxed structure of YZn4Ag.

Properties
The formation energy comes out at -198 meV/atom. For the offset from the most stable computed form, the calculation gives 57.6 meV/atom. The calculation puts the total magnetization at 0.000 μB/atom. Its space-group type is Cmcm, No. 63.

The structure in CIF format:
```
data_YZn4Ag
_chemical_formula_sum 'Y2 Zn8 Ag2'
_space_group_name_H-M_alt 'P 1'
_space_group_IT_number 1
_cell_length_a 4.054
_cell_length_b 6.603
_cell_length_c 8.501
_cell_angle_alpha 90.00
_cell_angle_beta 103.79
_cell_angle_gamma 90.00
loop_
_space_group_symop_operation_xyz
'x,y,z'
loop_
_atom_site_label
_atom_site_type_symbol
_atom_site_fract_x
_atom_site_fract_y
_atom_site_fract_z
Zn1 Zn 0.661 0.944 0.321
Ag1 Ag 0.763 0.250 0.526
Zn2 Zn 0.500 0.000 0.000
Zn3 Zn 0.072 0.750 0.143
Zn4 Zn 0.339 0.444 0.679
Ag2 Ag 0.237 0.750 0.474
Y1 Y 0.888 0.750 0.777
Y2 Y 0.112 0.250 0.223
Zn5 Zn 0.661 0.556 0.321
Zn6 Zn 0.339 0.056 0.679
Zn7 Zn 0.500 0.500 0.000
Zn8 Zn 0.928 0.250 0.857
```

***

Record 4
The following is a DFT calculation (PBE) of a relaxed structure of Y2Zn4Ag5.

Properties
The formation energy comes out at -167 meV/atom. The calculation puts the total magnetization at 0.000 μB/atom. Its space-group type is Immm, No. 71.

The structure in CIF format:
```
data_Y2Zn4Ag5
_chemical_formula_sum 'Y2 Zn4 Ag5'
_space_group_name_H-M_alt 'P 1'
_space_group_IT_number 1
_cell_length_a 5.521
_cell_length_b 6.802
_cell_length_c 6.800
_cell_angle_alpha 77.16
_cell_angle_beta 66.05
_cell_angle_gamma 66.06
loop_
_space_group_symop_operation_xyz
'x,y,z'
loop_
_atom_site_label
_atom_site_type_symbol
_atom_site_fract_x
_atom_site_fract_y
_atom_site_fract_z
Ag1 Ag 0.248 0.182 0.818
Y1 Y 0.707 0.292 0.293
Ag2 Ag 0.752 0.182 0.818
Zn1 Zn 0.244 0.417 0.095
Y2 Y 0.293 0.708 0.707
Ag3 Ag 0.248 0.818 0.182
Ag4 Ag 0.752 0.818 0.182
Zn2 Zn 0.756 0.904 0.583
Zn3 Zn 0.244 0.096 0.417
Ag5 Ag 0.000 0.500 0.500
Zn4 Zn 0.756 0.583 0.905
```

***

Record 5
The following is a DFT calculation (PBE) of a relaxed structure of YZn9Ag2.

Properties
The formation energy comes out at -141 meV/atom. The calculation puts the total magnetization at 0.000 μB/atom. Its space-group type is R-3m, No. 166.

The structure in CIF format:
```
data_YZn9Ag2
_chemical_formula_sum 'Y1 Zn9 Ag2'
_space_group_name_H-M_alt 'P 1'
_space_group_IT_number 1
_cell_length_a 5.229
_cell_length_b 5.229
_cell_length_c 8.838
_cell_angle_alpha 72.79
_cell_angle_beta 72.79
_cell_angle_gamma 60.00
loop_
_space_group_symop_operation_xyz
'x,y,z'
loop_
_atom_site_label
_atom_site_type_symbol
_atom_site_fract_x
_atom_site_fract_y
_atom_site_fract_z
Zn1 Zn 0.589 0.589 0.742
Zn2 Zn 0.666 0.666 0.001
Y1 Y 0.000 0.000 0.000
Zn3 Zn 0.411 0.920 0.258
Zn4 Zn 0.500 0.500 0.500
Zn5 Zn 0.589 0.080 0.742
Zn6 Zn 0.411 0.411 0.258
Zn7 Zn 0.334 0.334 0.999
Ag1 Ag 0.862 0.862 0.413
Zn8 Zn 0.920 0.411 0.258
Zn9 Zn 0.080 0.589 0.742
Ag2 Ag 0.138 0.138 0.587
```

***

Record 6
The following is a DFT calculation (PBE) of a relaxed structure of Y2ZnAg.

Properties
The formation energy comes out at -216 meV/atom. The calculation puts the total magnetization at 0.001 μB/atom. Its space-group type is Cm, No. 8.

The structure in CIF format:
```
data_Y2ZnAg
_chemical_formula_sum 'Y2 Zn1 Ag1'
_space_group_name_H-M_alt 'P 1'
_space_group_IT_number 1
_cell_length_a 5.931
_cell_length_b 5.931
_cell_length_c 5.023
_cell_angle_alpha 70.53
_cell_angle_beta 70.53
_cell_angle_gamma 34.85
loop_
_space_group_symop_operation_xyz
'x,y,z'
loop_
_atom_site_label
_atom_site_type_symbol
_atom_site_fract_x
_atom_site_fract_y
_atom_site_fract_z
Y1 Y 0.233 0.233 0.293
Zn1 Zn 0.475 0.475 0.490
Ag1 Ag 0.778 0.778 0.753
Y2 Y 0.014 0.014 0.964
```

***

Record 7
The following is a DFT calculation (PBE) of a relaxed structure of YZnAg3.

Properties
The formation energy comes out at 961 meV/atom. For the offset from the most stable computed form, the calculation gives 1176.1 meV/atom. The calculation puts the total magnetization at 0.000 μB/atom. Its space-group type is Pm-3m, No. 221.

The structure in CIF format:
```
data_YZnAg3
_chemical_formula_sum 'Y1 Zn1 Ag3'
_space_group_name_H-M_alt 'P 1'
_space_group_IT_number 1
_cell_length_a 5.637
_cell_length_b 5.637
_cell_length_c 5.637
_cell_angle_alpha 90.00
_cell_angle_beta 90.00
_cell_angle_gamma 90.00
loop_
_space_group_symop_operation_xyz
'x,y,z'
loop_
_atom_site_label
_atom_site_type_symbol
_atom_site_fract_x
_atom_site_fract_y
_atom_site_fract_z
Ag1 Ag 0.000 0.500 0.000
Ag2 Ag 0.000 0.000 0.500
Ag3 Ag 0.500 0.000 0.000
Zn1 Zn 0.500 0.500 0.500
Y1 Y 0.000 0.000 0.000
```

***

Record 8
The following is a DFT calculation (PBE) of a relaxed structure of YZn2Ag2.

Properties
The formation energy comes out at -236 meV/atom. For the offset from the most stable computed form, the calculation gives 0.0 meV/atom. The calculation puts the total magnetization at 0.000 μB/atom. Its space-group type is P-1, No. 2.

The structure in CIF format:
```
data_YZn2Ag2
_chemical_formula_sum 'Y2 Zn4 Ag4'
_space_group_name_H-M_alt 'P 1'
_space_group_IT_number 1
_cell_length_a 4.846
_cell_length_b 5.751
_cell_length_c 8.144
_cell_angle_alpha 91.50
_cell_angle_beta 73.21
_cell_angle_gamma 63.52
loop_
_space_group_symop_operation_xyz
'x,y,z'
loop_
_atom_site_label
_atom_site_type_symbol
_atom_site_fract_x
_atom_site_fract_y
_atom_site_fract_z
Zn1 Zn 0.607 0.263 0.509
Ag1 Ag 0.252 0.661 0.831
Ag2 Ag 0.748 0.339 0.169
Y1 Y 0.001 0.748 0.251
Ag3 Ag 0.255 0.157 0.329
Y2 Y 0.999 0.252 0.749
Zn2 Zn 0.606 0.763 0.011
Zn3 Zn 0.394 0.237 0.989
Zn4 Zn 0.393 0.737 0.491
Ag4 Ag 0.745 0.843 0.671
```

***

Record 9
The following is a DFT calculation (PBE) of a relaxed structure of YZnAg2.

Properties
The formation energy comes out at -151 meV/atom. The calculation puts the total magnetization at 0.000 μB/atom. Its space-group type is P2/m, No. 10.

The structure in CIF format:
```
data_YZnAg2
_chemical_formula_sum 'Y1 Zn1 Ag2'
_space_group_name_H-M_alt 'P 1'
_space_group_IT_number 1
_cell_length_a 4.549
_cell_length_b 3.434
_cell_length_c 5.575
_cell_angle_alpha 89.92
_cell_angle_beta 90.00
_cell_angle_gamma 90.00
loop_
_space_group_symop_operation_xyz
'x,y,z'
loop_
_atom_site_label
_atom_site_type_symbol
_atom_site_fract_x
_atom_site_fract_y
_atom_site_fract_z
Y1 Y 0.500 0.250 0.250
Ag1 Ag 0.000 0.749 0.500
Ag2 Ag 0.000 0.751 0.000
Zn1 Zn 0.500 0.750 0.750
```

***

Record 10
The following is a DFT calculation (PBE) of a relaxed structure of YZn2Ag2.

Properties
The formation energy comes out at -220 meV/atom. For the offset from the most stable computed form, the calculation gives 15.8 meV/atom. The calculation puts the total magnetization at 0.000 μB/atom. Its space-group type is I4/mmm, No. 139.

The structure in CIF format:
```
data_YZn2Ag2
_chemical_formula_sum 'Y1 Zn2 Ag2'
_space_group_name_H-M_alt 'P 1'
_space_group_IT_number 1
_cell_length_a 4.137
_cell_length_b 4.137
_cell_length_c 6.471
_cell_angle_alpha 71.36
_cell_angle_beta 71.36
_cell_angle_gamma 90.00
loop_
_space_group_symop_operation_xyz
'x,y,z'
loop_
_atom_site_label
_atom_site_type_symbol
_atom_site_fract_x
_atom_site_fract_y
_atom_site_fract_z
Y1 Y 0.000 0.000 0.000
Zn1 Zn 0.606 0.606 0.789
Ag1 Ag 0.750 0.250 0.500
Zn2 Zn 0.394 0.394 0.211
Ag2 Ag 0.250 0.750 0.500
```

***

Record 11
The following is a DFT calculation (PBE) of a relaxed structure of YZn6Ag2.

Properties
The formation energy comes out at -101 meV/atom. The calculation puts the total magnetization at 0.000 μB/atom. Its space-group type is Immm, No. 71.

The structure in CIF format:
```
data_YZn6Ag2
_chemical_formula_sum 'Y1 Zn6 Ag2'
_space_group_name_H-M_alt 'P 1'
_space_group_IT_number 1
_cell_length_a 3.592
_cell_length_b 7.516
_cell_length_c 7.516
_cell_angle_alpha 56.91
_cell_angle_beta 76.18
_cell_angle_gamma 76.18
loop_
_space_group_symop_operation_xyz
'x,y,z'
loop_
_atom_site_label
_atom_site_type_symbol
_atom_site_fract_x
_atom_site_fract_y
_atom_site_fract_z
Zn1 Zn 0.500 0.673 0.327
Zn2 Zn 0.318 0.369 0.995
Ag1 Ag 0.867 0.633 0.633
Y1 Y 0.000 0.000 0.000
Ag2 Ag 0.133 0.367 0.367
Zn3 Zn 0.318 0.995 0.369
Zn4 Zn 0.682 0.005 0.631
Zn5 Zn 0.500 0.327 0.673
Zn6 Zn 0.682 0.631 0.005
```

***

Record 12
The following is a DFT calculation (PBE) of a relaxed structure of Y2Zn12Ag5.

Properties
The formation energy comes out at -178 meV/atom. The calculation puts the total magnetization at 0.000 μB/atom. Its space-group type is R-3m, No. 166.

The structure in CIF format:
```
data_Y2Zn12Ag5
_chemical_formula_sum 'Y2 Zn12 Ag5'
_space_group_name_H-M_alt 'P 1'
_space_group_IT_number 1
_cell_length_a 6.947
_cell_length_b 6.947
_cell_length_c 6.947
_cell_angle_alpha 83.00
_cell_angle_beta 83.00
_cell_angle_gamma 83.00
loop_
_space_group_symop_operation_xyz
'x,y,z'
loop_
_atom_site_label
_atom_site_type_symbol
_atom_site_fract_x
_atom_site_fract_y
_atom_site_fract_z
Zn1 Zn 0.697 0.000 0.303
Ag1 Ag 0.500 0.000 0.000
Ag2 Ag 0.000 0.000 0.500
Ag3 Ag 0.103 0.103 0.103
Zn2 Zn 0.647 0.168 0.647
Y1 Y 0.659 0.659 0.659
Zn3 Zn 0.697 0.303 0.000
Zn4 Zn 0.303 0.000 0.697
Zn5 Zn 0.647 0.647 0.168
Zn6 Zn 0.000 0.697 0.303
Zn7 Zn 0.168 0.647 0.647
Zn8 Zn 0.353 0.353 0.832
Ag4 Ag 0.000 0.500 0.000
Zn9 Zn 0.303 0.697 0.000
Zn10 Zn 0.353 0.832 0.353
Zn11 Zn 0.000 0.303 0.697
Ag5 Ag 0.897 0.897 0.897
Y2 Y 0.341 0.341 0.341
Zn12 Zn 0.832 0.353 0.353
```